[1]
The following is a GGA-PBE calculation of a geometry-optimized K2BiP structure, from Alexandria.

Summary:
formation enthalpy at 0 K = 17 kJ per mole of atoms
energy above the most stable polymorph in this dataset = 0.2358 eV per atom
calculated volume = 32.178 A^3/atom

Unit cell a=5.6673 b=5.6673 c=5.6673 alpha=60.00 beta=60.00 gamma=60.00
Atoms (fractional coordinates):
1 P 0.0000 0.0000 0.0000
2 K 0.2500 0.2500 0.2500
3 K 0.7500 0.7500 0.7500
4 Bi 0.5000 0.5000 0.5000

=====

[2]
The following is a GGA-PBE calculation of a geometry-optimized Mg9Ag4Au11 structure, from Alexandria.

Summary:
formation enthalpy at 0 K = -42 kJ per mole of atoms
calculated volume = 18.205 A^3/atom

Unit cell a=3.2353 b=11.8646 c=11.8646 alpha=106.39 beta=90.00 gamma=90.00
Atoms (fractional coordinates):
1 Mg 0.5000 0.6104 0.1569
2 Mg 0.5000 0.3896 0.8431
3 Mg 0.5000 0.1569 0.6104
4 Mg 0.5000 0.8431 0.3896
5 Mg 0.5000 0.7962 0.9818
6 Mg 0.5000 0.2038 0.0182
7 Mg 0.5000 0.9818 0.7962
8 Mg 0.5000 0.0182 0.2038
9 Mg 0.5000 0.5000 0.5000
10 Ag 0.5000 0.5804 0.7422
11 Ag 0.5000 0.4196 0.2578
12 Ag 0.5000 0.7422 0.5804
13 Ag 0.5000 0.2578 0.4196
14 Au 0.0000 0.5989 0.9547
15 Au 0.0000 0.4011 0.0453
16 Au 0.0000 0.9547 0.5989
17 Au 0.0000 0.0453 0.4011
18 Au 0.0000 0.6306 0.3694
19 Au 0.0000 0.3694 0.6306
20 Au 0.0000 0.8140 0.1860
21 Au 0.0000 0.1860 0.8140
22 Au 0.0000 0.0000 0.0000
23 Au 0.0000 0.7894 0.7894
24 Au 0.0000 0.2106 0.2106

=====

[3]
The following is a GGA-PBE calculation of a geometry-optimized Pm6SmDy3Tm2 structure, from Alexandria.

Summary:
formation enthalpy at 0 K = 1 kJ per mole of atoms
calculated volume = 32.715 A^3/atom

Unit cell a=6.2355 b=6.2355 c=11.8397 alpha=95.02 beta=95.02 gamma=119.99
Atoms (fractional coordinates):
1 Pm 0.9162 0.5821 0.7501
2 Pm 0.7498 0.7498 0.2497
3 Pm 0.0838 0.4179 0.2499
4 Pm 0.5821 0.9162 0.7501
5 Pm 0.2502 0.2502 0.7503
6 Pm 0.4179 0.0838 0.2499
7 Sm 0.0000 0.0000 0.0000
8 Dy 0.1668 0.8332 0.5000
9 Dy 0.8332 0.1668 0.5000
10 Dy 0.5000 0.5000 0.5000
11 Tm 0.3334 0.6666 0.0000
12 Tm 0.6666 0.3334 0.0000

=====

[4]
The following is a GGA-PBE calculation of a geometry-optimized BaLiPr structure, from Alexandria.

Summary:
formation enthalpy at 0 K = 24 kJ per mole of atoms
energy above the most stable polymorph in this dataset = 0.0815 eV per atom
calculated volume = 37.478 A^3/atom

Unit cell a=3.7610 b=5.8753 c=5.8753 alpha=120.00 beta=90.00 gamma=90.00
Atoms (fractional coordinates):
1 Pr 0.3018 0.3333 0.6667
2 Ba 0.7003 0.6667 0.3333
3 Li 0.9979 0.0000 0.0000

=====

[5]
The following is a GGA-PBE calculation of a geometry-optimized NiMo2Cl structure, from Alexandria.

Summary:
uncorrected formation energy = 255 meV per atom
energy above the most stable polymorph in this dataset = 0.0439 eV per atom
calculated volume = 15.396 A^3/atom

Unit cell a=8.8286 b=8.8286 c=8.8286 alpha=18.67 beta=18.67 gamma=18.67
Atoms (fractional coordinates):
1 Cl 0.7441 0.7441 0.7441
2 Mo 0.0053 0.0053 0.0053
3 Mo 0.2463 0.2463 0.2463
4 Ni 0.5043 0.5043 0.5043

=====

[6]
The following is a GGA-PBE calculation of a geometry-optimized Ta2SiTc structure, from Alexandria.

Summary:
uncorrected formation energy = 453 meV per atom
calculated volume = 17.471 A^3/atom

Unit cell a=3.8934 b=3.8934 c=9.6224 alpha=78.33 beta=78.33 gamma=90.00
Site moments in Bohr magnetons follow the coordinates.
Atoms (fractional coordinates):
1 Si 0.5000 0.5000 0.0000  0.00
2 Si 0.2500 0.7500 0.5000  0.00
3 Tc 0.0000 0.0000 0.0000  0.12
4 Tc 0.7500 0.2500 0.5000  0.12
5 Ta 0.6130 0.1250 0.2500  -0.01
6 Ta 0.1370 0.6250 0.2500  -0.01
7 Ta 0.3750 0.3870 0.7500  -0.01
8 Ta 0.8750 0.8630 0.7500  -0.01

=====

[7]
The following is a GGA-PBE calculation of a geometry-optimized KCo2Si structure, from Alexandria.

Summary:
uncorrected formation energy = 638 meV per atom
calculated volume = 17.717 A^3/atom

Unit cell a=5.6627 b=5.6627 c=5.6627 alpha=152.78 beta=120.51 gamma=66.61
Site moments in Bohr magnetons follow the coordinates.
Atoms (fractional coordinates):
1 Co 0.0608 0.0608 0.0000  0.83
2 Co 0.4392 0.4392 0.0000  0.83
3 K 0.7500 0.2500 0.5000  -0.01
4 Si 0.2500 0.7500 0.5000  -0.05

=====

[8]
The following is a GGA-PBE calculation of a geometry-optimized Cr3Rh structure, from Alexandria.

Summary:
formation enthalpy at 0 K = 17 kJ per mole of atoms
energy above the most stable polymorph in this dataset = 0.1360 eV per atom
calculated volume = 12.478 A^3/atom

Unit cell a=2.5679 b=2.5679 c=7.5691 alpha=90.00 beta=90.00 gamma=90.00
Atoms (fractional coordinates):
1 Cr 0.0000 0.0000 0.9978
2 Cr 0.0000 0.0000 0.5022
3 Cr 0.5000 0.5000 0.7500
4 Rh 0.5000 0.5000 0.2500

=====

- The highest calculated volume belongs to which entry?
  BaLiPr

=====

What did the sixth record say?
The following is a GGA-PBE calculation of a geometry-optimized Ta2SiTc structure, from Alexandria.

Summary:
uncorrected formation energy = 453 meV per atom
calculated volume = 17.471 A^3/atom

Unit cell a=3.8934 b=3.8934 c=9.6224 alpha=78.33 beta=78.33 gamma=90.00
Site moments in Bohr magnetons follow the coordinates.
Atoms (fractional coordinates):
1 Si 0.5000 0.5000 0.0000  0.00
2 Si 0.2500 0.7500 0.5000  0.00
3 Tc 0.0000 0.0000 0.0000  0.12
4 Tc 0.7500 0.2500 0.5000  0.12
5 Ta 0.6130 0.1250 0.2500  -0.01
6 Ta 0.1370 0.6250 0.2500  -0.01
7 Ta 0.3750 0.3870 0.7500  -0.01
8 Ta 0.8750 0.8630 0.7500  -0.01

=====

- Which of these has the lowest calculated volume?
  Cr3Rh

=====

- What is the formula in the first record?
  K2BiP